# TcBP2O

Crystalline TcBP2O at its relaxed geometry (GGA-PBEsol, Alexandria).

Calculated volume   58 Å³/cell
ΔE_f (raw)   154 meV per atom
Energy   -6.8689 eV/atom

Cell lengths 4.658, 4.658, 2.674 Å; angles 90.00, 90.00, 90.00 degrees
Space group P4/mmm (No. 123)
Symmetry-distinct sites (fractional):
Tc  0.000  0.000  0.000 x1
B  0.500  0.500  0.500 x1
P  0.000  0.500  0.500 x2
O  0.500  0.500  0.000 x1


# Cr3GaN

Crystalline Cr3GaN at its relaxed geometry (GGA-PBEsol, Alexandria).

Calculated volume   54 Å³/cell
ΔE_f (raw)   -368 meV per atom
Energy   -8.8862 eV/atom

Cell lengths 3.776, 3.776, 3.776 Å; angles 90.00, 90.00, 90.00 degrees
Space group Pm-3m (No. 221)
Symmetry-distinct sites (fractional):
Cr  0.000  0.000  0.500 x3
Ga  0.500  0.500  0.500 x1
N  0.000  0.000  0.000 x1


# TlPbIO2

Crystalline TlPbIO2 at its relaxed geometry (GGA-PBEsol, Alexandria).

Calculated volume   113 Å³/cell
ΔE_f (raw)   8 meV per atom
Energy   -3.7712 eV/atom

Cell lengths 4.435, 4.435, 5.742 Å; angles 90.00, 90.00, 90.00 degrees
Space group P4/mmm (No. 123)
Symmetry-distinct sites (fractional):
Tl  0.000  0.000  0.000 x1
Pb  0.500  0.500  0.500 x1
I  0.000  0.000  0.500 x1
O  0.000  0.500  0.000 x2


# TiReBH2

Crystalline TiReBH2 at its relaxed geometry (GGA-PBEsol, Alexandria).

Calculated volume   52 Å³/cell
Energy   -5.7120 eV/atom

Cell lengths 3.424, 3.424, 4.402 Å; angles 90.00, 90.00, 90.00 degrees
Space group P4/mmm (No. 123)
Symmetry-distinct sites (fractional):
Ti  0.000  0.000  0.000 x1
Re  0.500  0.500  0.000 x1
B  0.000  0.000  0.500 x1
H  0.000  0.500  0.500 x2


# CeH8S2O12

Crystalline CeH8S2O12 at its relaxed geometry (GGA-PBEsol, Alexandria).

Calculated volume   901 Å³/cell
Energy   -6.0557 eV/atom

Cell lengths 14.526, 11.134, 5.571 Å; angles 90.00, 90.00, 90.00 degrees
Space group Pnma (No. 62)
Symmetry-distinct sites (fractional):
Ce  0.166  0.250  0.124 x4
H  0.004  0.123  0.870 x8
H  0.018  0.678  0.651 x8
H  0.094  0.051  0.795 x8
H  0.175  0.680  0.961 x8
S  0.149  0.556  0.384 x8
O  0.021  0.250  0.311 x4
O  0.073  0.122  0.889 x8
O  0.091  0.570  0.600 x8
O  0.105  0.606  0.168 x8
O  0.167  0.075  0.354 x8
O  0.203  0.750  0.877 x4
O  0.240  0.617  0.417 x8


# SrLa2Al2

Crystalline SrLa2Al2 at its relaxed geometry (GGA-PBEsol, Alexandria).

Energy relative to the elements   -0.070 eV per atom
Calculated volume   314 Å³/cell
Energy   -4.2130 eV/atom

Cell lengths 4.771, 4.771, 13.780 Å; angles 90.00, 90.00, 90.00 degrees
Space group I4/mmm (No. 139)
Symmetry-distinct sites (fractional):
Sr  0.000  0.000  0.000 x2
La  0.000  0.500  0.250 x4
Al  0.000  0.000  0.406 x4